Entry from Alexandria: Rb3Sm3GaTe8 after structural relaxation (GGA-PBE).

Summary:
As for the space group: C2/m, No. 12.

Geometry as POSCAR:
```
Rb3Sm3GaTe8
1.0
-7.937 3.786 1.350
0.743 -6.925 -5.528
0.650 -2.206 10.007
Te Rb Sm Ga
8 3 3 1
Cartesian
-0.961 -3.720 4.785 Te
-1.770 0.068 3.258 Te
-4.775 -5.412 2.572 Te
-0.587 -7.410 1.859 Te
-1.517 -3.315 0.381 Te
-5.584 -1.624 1.044 Te
-5.957 2.065 3.971 Te
-5.028 -2.029 5.448 Te
-3.597 -1.569 -2.089 Rb
0.371 -3.462 -2.764 Rb
0.000 0.000 0.000 Rb
0.696 -4.565 2.240 Sm
-3.644 0.790 5.679 Sm
-3.272 -2.672 2.915 Sm
0.325 -1.103 5.004 Ga
```


Entry from Alexandria: RbGa2Sn8 after structural relaxation (GGA-PBE).

Summary:
As for the energy of formation from the pure elements: 95 meV per atom. As for the space group: P4/mmm, No. 123.

Geometry as POSCAR:
```
RbGa2Sn8
1.0
-5.418 -1.749 -2.472
-0.814 -4.039 4.642
-4.935 7.407 5.578
Sn Rb Ga
8 1 2
Cartesian
-5.947 2.516 7.382 Sn
-8.262 3.668 3.805 Sn
-2.905 -2.049 3.944 Sn
-5.630 -2.928 2.701 Sn
-8.672 1.637 6.139 Sn
-2.495 -0.018 1.609 Sn
-5.537 4.548 5.048 Sn
-5.220 -0.897 0.366 Sn
-5.584 0.810 3.874 Rb
-2.709 -0.874 -1.236 Ga
-0.407 -2.019 2.321 Ga
```


Entry from Alexandria: Rb2Ga2Sn after structural relaxation (GGA-PBE).

Summary:
The offset from the most stable computed form comes out at 0.180 eV/f.u. As for the energy of formation from the pure elements: -14 meV per atom. As for the space group: P4/mbm, No. 127.

Geometry as POSCAR:
```
Rb2Ga2Sn
1.0
7.447 0.000 0.000
0.000 7.447 0.000
0.000 0.000 6.053
Rb Ga Sn
4 4 2
Cartesian
1.397 5.120 3.026 Rb
5.120 6.050 3.026 Rb
6.050 2.327 3.026 Rb
2.327 1.397 3.026 Rb
2.808 6.531 0.000 Ga
0.916 2.808 0.000 Ga
4.639 0.916 0.000 Ga
6.531 4.639 0.000 Ga
0.000 0.000 0.000 Sn
3.724 3.724 0.000 Sn
```


Entry from Alexandria: Rb2Ga10Sn after structural relaxation (GGA-PBE).

Summary:
As for the energy of formation from the pure elements: -18 meV per atom. As for the space group: Pbam, No. 55.

Geometry as POSCAR:
```
Rb2Ga10Sn
1.0
-2.412 -4.956 2.723
4.120 -4.871 -5.216
12.061 -0.420 9.919
Ga Rb Sn
20 4 2
Cartesian
1.317 -2.460 0.875 Ga
2.223 -0.112 1.764 Ga
6.990 -0.878 4.594 Ga
13.409 -5.820 5.470 Ga
10.253 -2.686 4.193 Ga
12.452 -7.787 6.550 Ga
6.892 -5.230 6.280 Ga
5.928 -2.605 0.510 Ga
9.191 -4.414 0.108 Ga
6.973 -4.108 -1.300 Ga
0.360 -4.426 1.956 Ga
6.877 -5.017 1.146 Ga
1.914 -1.796 -1.574 Ga
13.958 -5.179 2.938 Ga
7.849 -3.263 5.199 Ga
12.447 -3.660 4.365 Ga
9.208 -1.183 6.003 Ga
14.267 -3.495 6.276 Ga
5.920 -6.984 2.226 Ga
3.734 -1.632 0.338 Ga
9.841 -6.735 3.399 Rb
3.928 -3.512 4.027 Rb
3.241 -5.852 -0.840 Rb
10.528 -4.395 8.266 Rb
8.091 -2.646 2.351 Sn
0.000 0.000 0.000 Sn
```


no.,density of states at the Fermi level (states/eV/f.u.),total energy (eV/atom)
1,10.18,-4.07
2,6.85,-3.45
3,4.51,-2.41
4,4.33,-2.80